Material: YZr2Mo
Method: DFT, PBE
State: optimized geometry

Total magnetic moment ... 0.00 μB/f.u.
E_form ... 0.07 eV/atom

Cell and atoms, written as POSCAR:
```
YZr2Mo
1.0
-1.005 3.283 -0.302
-3.131 -0.852 1.162
2.325 1.382 7.281
Zr Mo Y
2 1 1
Direct
0.000 0.000 0.052
0.000 0.000 0.448
0.500 0.500 0.250
0.500 0.500 0.750
```

---

Material: Y7Tl2Cd2
Method: DFT, PBE
State: optimized geometry

Total magnetic moment ... 0.00 μB/f.u.
E_form ... 0.02 eV/atom

Cell and atoms, written as POSCAR:
```
Y7Tl2Cd2
1.0
-3.209 5.973 -0.728
-6.025 -2.676 4.599
4.136 0.004 5.421
Y Tl Cd
7 2 2
Direct
0.500 0.757 0.500
0.000 0.710 0.500
0.500 0.710 0.000
0.000 0.000 0.000
0.500 0.290 0.000
0.500 0.243 0.500
0.000 0.290 0.500
0.192 0.500 0.192
0.808 0.500 0.808
0.284 0.000 0.716
0.716 0.000 0.284
```

---

Material: SrCd2As
Method: DFT, PBE
State: optimized geometry

Total magnetic moment ... 0.00 μB/f.u.
E_form ... -0.36 eV/atom

Cell and atoms, written as POSCAR:
```
SrCd2As
1.0
-5.798 1.478 -1.262
-3.377 -4.068 -3.073
3.664 0.001 4.896
As Cd Sr
1 2 1
Direct
0.750 0.250 0.500
0.500 0.500 0.000
0.000 0.000 0.000
0.250 0.750 0.500
```

---

Material: NdAl7Ag12
Method: DFT, PBE
State: optimized geometry

Total magnetic moment ... 0.00 μB/f.u.
E_form ... 0.27 eV/atom

Cell and atoms, written as POSCAR:
```
NdAl7Ag12
1.0
-1.213 2.254 -7.954
-1.732 -8.126 0.887
-5.020 4.475 4.960
Al Ag Nd
7 12 1
Direct
0.000 0.500 0.000
0.500 0.000 0.500
0.000 0.500 0.500
0.000 0.000 0.500
0.500 0.500 0.500
0.500 0.500 0.000
0.500 0.000 0.000
0.161 0.445 0.284
0.555 0.716 0.839
0.284 0.161 0.445
0.839 0.123 0.284
0.161 0.877 0.716
0.877 0.716 0.161
0.284 0.839 0.123
0.839 0.555 0.716
0.123 0.284 0.839
0.716 0.161 0.877
0.445 0.284 0.161
0.716 0.839 0.555
0.000 0.000 0.000
```